Entry 1:
MnNi | PBE-GGA | optimized geometry

```
MnNi
1.0
1.227 0.708 4.110
-1.227 0.708 4.110
0.000 -1.417 4.110
Mn Ni
1 1
direct
0.000 0.000 0.000 Mn
0.500 0.500 0.500 Ni
```

Calculated values
The density of states at the Fermi level comes out at 2.39 states/eV per cell. Its energy relative to the elements is 0.103 eV per atom.

Entry 2:
MnNi3 | PBE-GGA | optimized geometry

```
MnNi3
1.0
3.565 0.000 0.000
0.000 3.565 0.000
0.000 0.000 3.565
Mn Ni
1 3
direct
0.000 0.000 0.000 Mn
0.000 0.500 0.500 Ni
0.500 0.000 0.500 Ni
0.500 0.500 0.000 Ni
```

Calculated values
The density of states at the Fermi level comes out at 4.04 states/eV per cell. Its energy relative to the elements is -0.103 eV per atom.

Entry 3:
MnNi | PBE-GGA | optimized geometry

```
MnNi
1.0
-3.622 3.622 1.801
3.622 -3.622 1.801
3.622 3.622 -1.801
Mn Ni
4 4
direct
0.000 0.345 0.345 Mn
0.000 0.655 0.655 Mn
0.345 0.000 0.345 Mn
0.655 0.000 0.655 Mn
0.332 0.332 0.664 Ni
0.332 0.668 0.000 Ni
0.668 0.332 0.000 Ni
0.668 0.668 0.336 Ni
```

Calculated values
The density of states at the Fermi level comes out at 9.35 states/eV per cell. Its energy relative to the elements is 0.301 eV per atom.

Entry 4:
MnNi | PBE-GGA | optimized geometry

```
MnNi
1.0
4.047 0.000 0.000
-2.023 3.504 0.000
0.000 0.000 4.790
Mn Ni
2 2
direct
0.333 0.667 0.250 Mn
0.667 0.333 0.750 Mn
0.333 0.667 0.750 Ni
0.667 0.333 0.250 Ni
```

Calculated values
The density of states at the Fermi level comes out at 2.91 states/eV per cell. Its energy relative to the elements is 0.877 eV per atom.

Entry 5:
Mn3Ni | PBE-GGA | optimized geometry

```
Mn3Ni
1.0
2.519 0.000 0.000
0.000 2.519 0.000
0.000 0.000 7.112
Mn Ni
3 1
direct
0.000 0.000 0.000 Mn
0.500 0.500 0.247 Mn
0.500 0.500 0.753 Mn
0.000 0.000 0.500 Ni
```

Calculated values
The density of states at the Fermi level comes out at 5.13 states/eV per cell. Its energy relative to the elements is 0.041 eV per atom.

Entry 6:
MnNi | PBE-GGA | optimized geometry

```
MnNi
1.0
0.000 2.669 2.669
2.669 0.000 2.669
2.669 2.669 0.000
Mn Ni
1 1
direct
0.000 0.000 0.000 Mn
0.250 0.250 0.250 Ni
```

Calculated values
The density of states at the Fermi level comes out at 4.51 states/eV per cell. Its energy relative to the elements is 1.259 eV per atom.

Entry 7:
MnNi3 | PBE-GGA | optimized geometry

```
MnNi3
1.0
4.178 -1.293 0.000
4.178 1.293 0.000
-0.833 0.000 4.248
Mn Ni
1 3
direct
0.000 0.000 0.000 Mn
0.249 0.249 0.744 Ni
0.500 0.500 0.500 Ni
0.751 0.751 0.256 Ni
```

Calculated values
The density of states at the Fermi level comes out at 4.49 states/eV per cell. Its energy relative to the elements is -0.016 eV per atom.

Entry 8:
Mn7Ni6 | PBE-GGA | optimized geometry

```
Mn7Ni6
1.0
2.286 1.320 8.136
-2.286 1.320 8.136
0.000 -2.639 8.136
Mn Ni
7 6
direct
0.000 0.000 0.000 Mn
0.093 0.093 0.579 Mn
0.093 0.579 0.093 Mn
0.421 0.907 0.907 Mn
0.579 0.093 0.093 Mn
0.907 0.421 0.907 Mn
0.907 0.907 0.421 Mn
0.164 0.164 0.164 Ni
0.350 0.350 0.350 Ni
0.453 0.453 0.453 Ni
0.547 0.547 0.547 Ni
0.650 0.650 0.650 Ni
0.836 0.836 0.836 Ni
```

Calculated values
The density of states at the Fermi level comes out at 19.64 states/eV per cell. Its energy relative to the elements is 0.164 eV per atom.

Entry 9:
Mn5Ni3 | PBE-GGA | optimized geometry

```
Mn5Ni3
1.0
3.403 -3.810 0.000
3.403 3.810 0.000
0.000 0.000 3.778
Mn Ni
5 3
direct
0.000 0.000 0.000 Mn
0.000 0.500 0.000 Mn
0.254 0.254 0.500 Mn
0.500 0.000 0.000 Mn
0.746 0.746 0.500 Mn
0.247 0.753 0.500 Ni
0.500 0.500 0.000 Ni
0.753 0.247 0.500 Ni
```

Calculated values
The density of states at the Fermi level comes out at 5.91 states/eV per cell. The calculation puts the distance to the lowest polymorph of the same formula at 0 meV/atom. Its energy relative to the elements is 0.007 eV per atom.

Entry 10:
MnNi4 | PBE-GGA | optimized geometry

```
MnNi4
1.0
-1.677 1.677 5.628
1.677 -1.677 5.628
1.677 1.677 -5.628
Mn Ni
1 4
direct
0.000 0.000 0.000 Mn
0.250 0.750 0.500 Ni
0.400 0.400 0.000 Ni
0.600 0.600 0.000 Ni
0.750 0.250 0.500 Ni
```

Calculated values
The density of states at the Fermi level comes out at 6.74 states/eV per cell. The calculation puts the distance to the lowest polymorph of the same formula at 326 meV/atom. Its energy relative to the elements is 0.277 eV per atom.

Entry 11:
MnNi2 | PBE-GGA | optimized geometry

```
MnNi2
1.0
6.910 0.000 0.000
-3.455 5.984 0.000
0.000 0.000 2.561
Mn Ni
3 6
direct
0.000 0.000 0.000 Mn
0.333 0.667 0.500 Mn
0.667 0.333 0.500 Mn
0.000 0.304 0.500 Ni
0.000 0.640 0.000 Ni
0.304 0.000 0.500 Ni
0.360 0.360 0.000 Ni
0.640 0.000 0.000 Ni
0.696 0.696 0.500 Ni
```

Calculated values
The density of states at the Fermi level comes out at 14.51 states/eV per cell. Its energy relative to the elements is 0.057 eV per atom.

Entry 12:
Mn3Ni | PBE-GGA | optimized geometry

```
Mn3Ni
1.0
4.633 0.000 0.000
0.000 4.633 0.000
0.000 0.000 4.633
Mn Ni
3 1
direct
0.000 0.000 0.500 Mn
0.000 0.500 0.000 Mn
0.500 0.000 0.000 Mn
0.000 0.000 0.000 Ni
```

Calculated values
The density of states at the Fermi level comes out at 1.78 states/eV per cell. Its energy relative to the elements is 1.191 eV per atom.

Entry 13:
MnNi2 | PBE-GGA | optimized geometry

```
MnNi2
1.0
4.660 -1.298 0.000
4.660 1.298 0.000
-1.534 0.000 5.813
Mn Ni
2 4
direct
0.000 0.000 0.000 Mn
0.683 0.683 0.353 Mn
0.060 0.060 0.618 Ni
0.339 0.339 0.679 Ni
0.401 0.401 0.287 Ni
0.724 0.724 0.952 Ni
```

Calculated values
The density of states at the Fermi level comes out at 7.22 states/eV per cell. Its energy relative to the elements is 0.048 eV per atom.

Entry 14:
MnNi | PBE-GGA | optimized geometry

```
MnNi
1.0
0.000 2.404 2.404
2.404 0.000 2.404
2.404 2.404 0.000
Mn Ni
1 1
direct
0.000 0.000 0.000 Mn
0.500 0.500 0.500 Ni
```

Calculated values
The density of states at the Fermi level comes out at 1.38 states/eV per cell. Its energy relative to the elements is 0.560 eV per atom.

Entry 15:
MnNi | PBE-GGA | optimized geometry

```
MnNi
1.0
4.758 0.000 0.000
0.000 4.758 0.000
0.000 0.000 4.805
Mn Ni
4 4
direct
0.197 0.197 0.000 Mn
0.303 0.697 0.500 Mn
0.697 0.303 0.500 Mn
0.803 0.803 0.000 Mn
0.191 0.191 0.500 Ni
0.309 0.691 0.000 Ni
0.691 0.309 0.000 Ni
0.809 0.809 0.500 Ni
```

Calculated values
The density of states at the Fermi level comes out at 8.96 states/eV per cell. Its energy relative to the elements is 0.471 eV per atom.

Entry 16:
Mn5Ni3 | PBE-GGA | optimized geometry

```
Mn5Ni3
1.0
7.099 0.000 0.000
-3.549 6.148 0.000
0.000 0.000 4.550
Mn Ni
10 6
direct
0.000 0.235 0.250 Mn
0.000 0.765 0.750 Mn
0.235 0.000 0.250 Mn
0.235 0.235 0.750 Mn
0.333 0.667 0.000 Mn
0.333 0.667 0.500 Mn
0.667 0.333 0.000 Mn
0.667 0.333 0.500 Mn
0.765 0.000 0.750 Mn
0.765 0.765 0.250 Mn
0.000 0.407 0.750 Ni
0.000 0.593 0.250 Ni
0.407 0.000 0.750 Ni
0.407 0.407 0.250 Ni
0.593 0.000 0.250 Ni
0.593 0.593 0.750 Ni
```

Calculated values
The density of states at the Fermi level comes out at 24.59 states/eV per cell. The calculation puts the distance to the lowest polymorph of the same formula at 165 meV/atom. Its energy relative to the elements is 0.173 eV per atom.

Entry 17:
MnNi | PBE-GGA | optimized geometry

```
MnNi
1.0
4.559 -1.224 0.000
4.559 1.224 0.000
-2.062 0.000 3.870
Mn Ni
2 2
direct
0.124 0.124 0.461 Mn
0.876 0.876 0.539 Mn
0.377 0.377 0.042 Ni
0.623 0.623 0.958 Ni
```

Calculated values
The density of states at the Fermi level comes out at 6.46 states/eV per cell. Its energy relative to the elements is 0.095 eV per atom.

Entry 18:
MnNi | PBE-GGA | optimized geometry

```
MnNi
1.0
-3.696 3.696 3.696
3.696 -3.696 3.696
3.696 3.696 -3.696
Mn Ni
4 4
direct
0.000 0.000 0.733 Mn
0.000 0.733 0.000 Mn
0.267 0.267 0.267 Mn
0.733 0.000 0.000 Mn
0.000 0.000 0.357 Ni
0.000 0.357 0.000 Ni
0.357 0.000 0.000 Ni
0.643 0.643 0.643 Ni
```

Calculated values
The density of states at the Fermi level comes out at 6.74 states/eV per cell. Its energy relative to the elements is 1.367 eV per atom.

Entry 19:
Mn2Ni17 | PBE-GGA | optimized geometry

```
Mn2Ni17
1.0
4.033 2.328 4.009
-4.033 2.328 4.009
0.000 -4.656 4.009
Mn Ni
2 17
direct
0.169 0.169 0.169 Mn
0.831 0.831 0.831 Mn
0.000 0.500 0.500 Ni
0.150 0.150 0.658 Ni
0.150 0.658 0.150 Ni
0.196 0.500 0.804 Ni
0.196 0.804 0.500 Ni
0.342 0.850 0.850 Ni
0.400 0.400 0.400 Ni
0.500 0.000 0.500 Ni
0.500 0.196 0.804 Ni
0.500 0.500 0.000 Ni
0.500 0.804 0.196 Ni
0.600 0.600 0.600 Ni
0.658 0.150 0.150 Ni
0.804 0.196 0.500 Ni
0.804 0.500 0.196 Ni
0.850 0.342 0.850 Ni
0.850 0.850 0.342 Ni
```

Calculated values
The density of states at the Fermi level comes out at 26.76 states/eV per cell. Its energy relative to the elements is 0.114 eV per atom.

Entry 20:
MnNi3 | PBE-GGA | optimized geometry

```
MnNi3
1.0
-1.286 4.118 2.171
1.286 -4.118 2.171
1.286 4.118 -2.171
Mn Ni
1 3
direct
0.000 0.000 0.000 Mn
0.093 0.341 0.752 Ni
0.501 0.001 0.500 Ni
0.589 0.341 0.248 Ni
```

Calculated values
The density of states at the Fermi level comes out at 4.89 states/eV per cell. Its energy relative to the elements is -0.005 eV per atom.

Entry 21:
MnNi2 | PBE-GGA | optimized geometry

```
MnNi2
1.0
1.750 -5.477 0.000
1.750 5.477 0.000
0.000 0.000 3.653
Mn Ni
2 4
direct
0.090 0.910 0.750 Mn
0.910 0.090 0.250 Mn
0.250 0.750 0.250 Ni
0.415 0.585 0.750 Ni
0.585 0.415 0.250 Ni
0.750 0.250 0.750 Ni
```

Calculated values
The density of states at the Fermi level comes out at 7.70 states/eV per cell. Its energy relative to the elements is -0.046 eV per atom.

Entry 22:
MnNi | PBE-GGA | optimized geometry

```
MnNi
1.0
2.493 0.000 0.000
-1.247 2.159 0.000
0.000 0.000 8.012
Mn Ni
2 2
direct
0.333 0.667 0.382 Mn
0.667 0.333 0.618 Mn
0.333 0.667 0.870 Ni
0.667 0.333 0.130 Ni
```

Calculated values
The density of states at the Fermi level comes out at 6.60 states/eV per cell. Its energy relative to the elements is 0.033 eV per atom.

Entry 23:
MnNi | PBE-GGA | optimized geometry

```
MnNi
1.0
3.896 0.000 0.000
-1.948 3.374 0.000
0.000 0.000 7.049
Mn Ni
4 4
direct
0.333 0.667 0.089 Mn
0.333 0.667 0.411 Mn
0.667 0.333 0.589 Mn
0.667 0.333 0.911 Mn
0.000 0.000 0.250 Ni
0.000 0.000 0.750 Ni
0.333 0.667 0.750 Ni
0.667 0.333 0.250 Ni
```

Calculated values
The density of states at the Fermi level comes out at 13.46 states/eV per cell. Its energy relative to the elements is 0.418 eV per atom.

Entry 24:
MnNi2 | PBE-GGA | optimized geometry

```
MnNi2
1.0
5.497 0.000 0.000
0.000 5.497 0.000
0.000 0.000 5.497
Mn Ni
4 8
direct
0.000 0.000 0.000 Mn
0.000 0.500 0.500 Mn
0.500 0.000 0.500 Mn
0.500 0.500 0.000 Mn
0.122 0.622 0.878 Ni
0.122 0.878 0.378 Ni
0.378 0.122 0.878 Ni
0.378 0.378 0.378 Ni
0.622 0.622 0.622 Ni
0.622 0.878 0.122 Ni
0.878 0.122 0.622 Ni
0.878 0.378 0.122 Ni
```

Calculated values
The density of states at the Fermi level comes out at 20.19 states/eV per cell. Its energy relative to the elements is 0.787 eV per atom.

Entry 25:
MnNi | PBE-GGA | optimized geometry

```
MnNi
1.0
4.455 0.000 0.000
0.000 4.455 0.000
0.000 0.000 4.455
Mn Ni
4 4
direct
0.100 0.400 0.600 Mn
0.400 0.600 0.100 Mn
0.600 0.100 0.400 Mn
0.900 0.900 0.900 Mn
0.099 0.901 0.401 Ni
0.401 0.099 0.901 Ni
0.599 0.599 0.599 Ni
0.901 0.401 0.099 Ni
```

Calculated values
The density of states at the Fermi level comes out at 11.33 states/eV per cell. Its energy relative to the elements is 0.300 eV per atom.